1.
# Zn3FeBr GGA-PBE optimized geometry
data_Zn3FeBr
_chemical_formula_sum 'Zn3 Fe1 Br1'
_cell_length_a 4.867
_cell_length_b 4.867
_cell_length_c 4.867
_cell_angle_alpha 90.00
_cell_angle_beta 90.00
_cell_angle_gamma 90.00
_space_group_name_H-M_alt 'P 1'
_space_group_IT_number 1
_space_group_name_Hall 'P 1'
loop_
_atom_site_label
_atom_site_fract_x
_atom_site_fract_y
_atom_site_fract_z
_atom_site_occupancy
Zn1 0.000 0.500 0.000 1
Zn2 0.000 0.000 0.500 1
Zn3 0.500 0.000 0.000 1
Fe1 0.000 0.000 0.000 1
Br1 0.500 0.500 0.500 1
# * spin magnetization: 2.8 μB per formula unit
# * ΔE_f (raw): 0.443 eV per atom
# * SG: Pm-3m

---

2.
# ReNi4Ru GGA-PBE optimized geometry
data_ReNi4Ru
_chemical_formula_sum 'Re2 Ni8 Ru2'
_cell_length_a 8.447
_cell_length_b 8.447
_cell_length_c 4.234
_cell_angle_alpha 75.49
_cell_angle_beta 75.49
_cell_angle_gamma 29.92
_space_group_name_H-M_alt 'P 1'
_space_group_IT_number 1
_space_group_name_Hall 'P 1'
loop_
_atom_site_label
_atom_site_fract_x
_atom_site_fract_y
_atom_site_fract_z
_atom_site_occupancy
Re1 0.809 0.191 0.750 1
Re2 0.191 0.809 0.250 1
Ni1 0.607 0.224 0.334 1
Ni2 0.776 0.393 0.166 1
Ni3 0.393 0.776 0.666 1
Ni4 0.224 0.607 0.834 1
Ni5 0.054 0.620 0.413 1
Ni6 0.380 0.946 0.087 1
Ni7 0.946 0.380 0.587 1
Ni8 0.620 0.054 0.913 1
Ru1 0.500 0.000 0.500 1
Ru2 0.000 0.500 0.000 1
# * formation energy: 2.68 kcal/mol of atoms
# * spin magnetization: 0.0 μB per formula unit
# * SG: Imma

---

3.
# Fe2CoOs GGA-PBE optimized geometry
data_Fe2CoOs
_chemical_formula_sum 'Fe2 Co1 Os1'
_cell_length_a 2.655
_cell_length_b 2.655
_cell_length_c 6.846
_cell_angle_alpha 90.00
_cell_angle_beta 90.00
_cell_angle_gamma 90.00
_space_group_name_H-M_alt 'P 1'
_space_group_IT_number 1
_space_group_name_Hall 'P 1'
loop_
_atom_site_label
_atom_site_fract_x
_atom_site_fract_y
_atom_site_fract_z
_atom_site_occupancy
Co1 0.500 0.500 0.750 1
Fe1 0.000 0.000 0.986 1
Fe2 0.000 0.000 0.514 1
Os1 0.500 0.500 0.250 1
# * formation energy: 2.83 kcal/mol of atoms
# * spin magnetization: 5.4 μB per formula unit
# * SG: P4/mmm

---

4.
# MnBeH3 GGA-PBE optimized geometry
data_MnBeH3
_chemical_formula_sum 'Mn2 Be2 H6'
_cell_length_a 2.535
_cell_length_b 4.615
_cell_length_c 6.706
_cell_angle_alpha 82.55
_cell_angle_beta 89.92
_cell_angle_gamma 56.65
_space_group_name_H-M_alt 'P 1'
_space_group_IT_number 1
_space_group_name_Hall 'P 1'
loop_
_atom_site_label
_atom_site_fract_x
_atom_site_fract_y
_atom_site_fract_z
_atom_site_occupancy
Mn1 0.708 0.766 0.189 1
Mn2 0.980 0.994 0.870 1
Be1 0.978 0.497 0.798 1
Be2 0.711 0.263 0.261 1
H1 0.106 0.868 0.348 1
H2 0.367 0.608 0.052 1
H3 0.321 0.153 0.007 1
H4 0.650 0.325 0.684 1
H5 0.583 0.892 0.711 1
H6 0.038 0.436 0.375 1
# * uncorrected energy: -45.5 eV per cell
# * spin magnetization: 0.4 μB per formula unit
# * SG: P-1

---

5.
# LiYBr2 GGA-PBE optimized geometry
data_LiYBr2
_chemical_formula_sum 'Li1 Y1 Br2'
_cell_length_a 8.903
_cell_length_b 8.903
_cell_length_c 8.903
_cell_angle_alpha 25.24
_cell_angle_beta 25.24
_cell_angle_gamma 25.24
_space_group_name_H-M_alt 'P 1'
_space_group_IT_number 1
_space_group_name_Hall 'P 1'
loop_
_atom_site_label
_atom_site_fract_x
_atom_site_fract_y
_atom_site_fract_z
_atom_site_occupancy
Y1 0.000 0.000 0.000 1
Br1 0.892 0.892 0.892 1
Br2 0.108 0.108 0.108 1
Li1 0.500 0.500 0.500 1
# * spin magnetization: 0.0 μB per formula unit
# * ΔE_f (raw): -1.194 eV per atom
# * SG: R-3m

---

6.
# CaTl4 GGA-PBE optimized geometry
data_CaTl4
_chemical_formula_sum 'Ca1 Tl4'
_cell_length_a 5.951
_cell_length_b 5.951
_cell_length_c 5.951
_cell_angle_alpha 90.00
_cell_angle_beta 90.00
_cell_angle_gamma 90.00
_space_group_name_H-M_alt 'P 1'
_space_group_IT_number 1
_space_group_name_Hall 'P 1'
loop_
_atom_site_label
_atom_site_fract_x
_atom_site_fract_y
_atom_site_fract_z
_atom_site_occupancy
Ca1 0.500 0.500 0.500 1
Tl1 0.000 0.000 0.000 1
Tl2 0.500 0.000 0.500 1
Tl3 0.000 0.500 0.500 1
Tl4 0.500 0.500 0.000 1
# * formation energy: 7.84 kcal/mol of atoms
# * spin magnetization: 0.0 μB per formula unit
# * SG: Pm-3m

---

7.
# ScTi4S8 GGA-PBE optimized geometry
data_ScTi4S8
_chemical_formula_sum 'Sc1 Ti4 S8'
_cell_length_a 7.249
_cell_length_b 7.249
_cell_length_c 7.249
_cell_angle_alpha 56.50
_cell_angle_beta 56.50
_cell_angle_gamma 56.50
_space_group_name_H-M_alt 'P 1'
_space_group_IT_number 1
_space_group_name_Hall 'P 1'
loop_
_atom_site_label
_atom_site_fract_x
_atom_site_fract_y
_atom_site_fract_z
_atom_site_occupancy
Sc1 0.500 0.500 0.500 1
Ti1 0.500 0.000 0.500 1
Ti2 0.000 0.500 0.500 1
Ti3 0.500 0.500 0.000 1
Ti4 0.000 0.000 0.000 1
S1 0.245 0.752 0.245 1
S2 0.755 0.755 0.248 1
S3 0.755 0.248 0.755 1
S4 0.248 0.755 0.755 1
S5 0.743 0.743 0.743 1
S6 0.257 0.257 0.257 1
S7 0.752 0.245 0.245 1
S8 0.245 0.245 0.752 1
# * spin magnetization: 0.0 μB per formula unit
# * ΔE_f (raw): -1.482 eV per atom
# * SG: R-3m

---

8.
# Cs2InHgP GGA-PBE optimized geometry
data_Cs2InHgP
_chemical_formula_sum 'Cs2 In1 Hg1 P1'
_cell_length_a 7.080
_cell_length_b 7.080
_cell_length_c 5.045
_cell_angle_alpha 90.00
_cell_angle_beta 90.00
_cell_angle_gamma 90.00
_space_group_name_H-M_alt 'P 1'
_space_group_IT_number 1
_space_group_name_Hall 'P 1'
loop_
_atom_site_label
_atom_site_fract_x
_atom_site_fract_y
_atom_site_fract_z
_atom_site_occupancy
Cs1 0.000 0.500 0.000 1
Cs2 0.500 0.000 0.000 1
P1 0.000 0.000 0.000 1
Hg1 0.500 0.500 0.500 1
In1 0.000 0.000 0.500 1
# * formation energy: -2.04 kcal/mol of atoms
# * spin magnetization: 0.0 μB per formula unit
# * SG: P4/mmm

---

9.
# SbAuCl6 GGA-PBE optimized geometry
data_SbAuCl6
_chemical_formula_sum 'Sb1 Au1 Cl6'
_cell_length_a 6.746
_cell_length_b 7.366
_cell_length_c 9.914
_cell_angle_alpha 43.55
_cell_angle_beta 53.34
_cell_angle_gamma 58.95
_space_group_name_H-M_alt 'P 1'
_space_group_IT_number 1
_space_group_name_Hall 'P 1'
loop_
_atom_site_label
_atom_site_fract_x
_atom_site_fract_y
_atom_site_fract_z
_atom_site_occupancy
Sb1 0.000 0.000 0.000 1
Au1 0.500 0.500 0.500 1
Cl1 0.122 0.450 0.780 1
Cl2 0.788 0.208 0.781 1
Cl3 0.630 0.113 0.221 1
Cl4 0.212 0.792 0.219 1
Cl5 0.878 0.550 0.220 1
Cl6 0.370 0.887 0.779 1
# * spin magnetization: 0.0 μB per formula unit
# * ΔE_f (raw): -0.528 eV per atom
# * SG: P-1

---

10.
# MgReBr2 GGA-PBE optimized geometry
data_MgReBr2
_chemical_formula_sum 'Mg1 Re1 Br2'
_cell_length_a 10.277
_cell_length_b 10.277
_cell_length_c 10.277
_cell_angle_alpha 18.58
_cell_angle_beta 18.58
_cell_angle_gamma 18.58
_space_group_name_H-M_alt 'P 1'
_space_group_IT_number 1
_space_group_name_Hall 'P 1'
loop_
_atom_site_label
_atom_site_fract_x
_atom_site_fract_y
_atom_site_fract_z
_atom_site_occupancy
Br1 0.025 0.025 0.025 1
Br2 0.475 0.475 0.475 1
Mg1 0.250 0.250 0.250 1
Re1 0.750 0.750 0.750 1
# * spin magnetization: 0.0 μB per formula unit
# * ΔE_f (raw): 0.584 eV per atom
# * SG: R-3m

---

11.
# Na2Ga2Hg GGA-PBE optimized geometry
data_Na2Ga2Hg
_chemical_formula_sum 'Na4 Ga4 Hg2'
_cell_length_a 9.210
_cell_length_b 9.210
_cell_length_c 2.958
_cell_angle_alpha 90.00
_cell_angle_beta 90.00
_cell_angle_gamma 90.00
_space_group_name_H-M_alt 'P 1'
_space_group_IT_number 1
_space_group_name_Hall 'P 1'
loop_
_atom_site_label
_atom_site_fract_x
_atom_site_fract_y
_atom_site_fract_z
_atom_site_occupancy
Na1 0.305 0.805 0.000 1
Na2 0.805 0.695 0.000 1
Na3 0.695 0.195 0.000 1
Na4 0.195 0.305 0.000 1
Hg1 0.000 0.000 0.000 1
Hg2 0.500 0.500 0.000 1
Ga1 0.100 0.600 0.500 1
Ga2 0.600 0.900 0.500 1
Ga3 0.900 0.400 0.500 1
Ga4 0.400 0.100 0.500 1
# * formation energy: 0.25 kcal/mol of atoms
# * spin magnetization: 0.0 μB per formula unit
# * SG: P4/mbm

---

12.
# TmScSe GGA-PBE optimized geometry
data_TmScSe
_chemical_formula_sum 'Tm2 Sc2 Se2'
_cell_length_a 3.955
_cell_length_b 3.955
_cell_length_c 9.283
_cell_angle_alpha 89.97
_cell_angle_beta 90.03
_cell_angle_gamma 90.00
_space_group_name_H-M_alt 'P 1'
_space_group_IT_number 1
_space_group_name_Hall 'P 1'
loop_
_atom_site_label
_atom_site_fract_x
_atom_site_fract_y
_atom_site_fract_z
_atom_site_occupancy
Tm1 0.751 0.249 0.193 1
Tm2 0.249 0.751 0.807 1
Sc1 0.750 0.250 0.574 1
Sc2 0.250 0.750 0.426 1
Se1 0.250 0.750 0.128 1
Se2 0.750 0.250 0.872 1
# * spin magnetization: 0.0 μB per formula unit
# * ΔE_f (raw): -1.112 eV per atom
# * SG: C2/m